No. 1
# Al2Pd2Au

Crystalline Al2Pd2Au at its relaxed geometry (PBE, Alexandria via LeMat-Bulk).

Lattice parameters (Å, degrees): 7.3536 7.3536 2.8913 90.00 90.00 90.00
With the nearest neighbours (Å) after each atom.
Atoms (fractional coordinates):
Pd1 0.6378 0.1378 0.0000  6 Al 2.56-2.63, 2 Au 2.85
Pd2 0.3622 0.8622 0.0000  6 Al 2.56-2.63, 2 Au 2.85
Pd3 0.1378 0.3622 0.0000  6 Al 2.56-2.63, 2 Au 2.85
Pd4 0.8622 0.6378 0.0000  6 Al 2.56-2.63, 2 Au 2.85
Al1 0.3405 0.1595 0.5000  6 Pd 2.56-2.63
Al2 0.1595 0.6595 0.5000  6 Pd 2.56-2.63
Al3 0.8405 0.3405 0.5000  6 Pd 2.56-2.63
Al4 0.6595 0.8405 0.5000  6 Pd 2.56-2.63
Au1 0.0000 0.0000 0.0000  4 Pd 2.85, 2 Au 2.89, 8 Al 3.12
Au2 0.5000 0.5000 0.0000  4 Pd 2.85, 2 Au 2.89, 8 Al 3.12

Output
- M_tot: 0.0 μB per formula unit
- E_form: -666 meV/atom
- SG: P4/mbm
- Relative energy among the computed polymorphs: 0.018 eV per atom
- Mass density: 9.851 Mg/m³

=====

No. 2
# AlPd2Au2

Crystalline AlPd2Au2 at its relaxed geometry (PBE, Alexandria via LeMat-Bulk).

Lattice parameters (Å, degrees): 6.6255 6.6255 4.0093 90.00 90.00 90.00
With the nearest neighbours (Å) after each atom.
Atoms (fractional coordinates):
Pd1 0.1577 0.6577 0.5000  6 Au 2.72-2.84, 1 Pd 2.96
Pd2 0.6577 0.8423 0.5000  6 Au 2.72-2.84, 1 Pd 2.96
Pd3 0.8423 0.3423 0.5000  6 Au 2.72-2.84, 1 Pd 2.96
Pd4 0.3423 0.1577 0.5000  6 Au 2.72-2.84, 1 Pd 2.96
Au1 0.1453 0.3547 0.0000  2 Al 2.54, 1 Au 2.72, 6 Pd 2.72-2.84
Au2 0.3547 0.8547 0.0000  2 Al 2.54, 1 Au 2.72, 6 Pd 2.72-2.84
Au3 0.6453 0.1453 0.0000  2 Al 2.54, 1 Au 2.72, 6 Pd 2.72-2.84
Au4 0.8547 0.6453 0.0000  2 Al 2.54, 1 Au 2.72, 6 Pd 2.72-2.84
Al1 0.5000 0.5000 0.0000  4 Au 2.54
Al2 0.0000 0.0000 0.0000  4 Au 2.54

Output
- M_tot: 0.0 μB per formula unit
- E_form: -169 meV/atom
- SG: P4/mbm
- Relative energy among the computed polymorphs: 0.311 eV per atom
- Mass density: 11.959 Mg/m³

=====

No. 3
# AlPd6Au2

Crystalline AlPd6Au2 at its relaxed geometry (PBE, Alexandria via LeMat-Bulk).

Lattice parameters (Å, degrees): 4.1230 8.3000 8.3006 90.00 90.00 90.00
With the nearest neighbours (Å) after each atom.
Atoms (fractional coordinates):
Au1 0.0000 0.6864 0.1863  10 Pd 2.74-2.88, 2 Al 3.01
Au2 0.5000 0.8136 0.6863  10 Pd 2.74-2.88, 2 Al 3.01
Au3 0.0000 0.3136 0.8137  10 Pd 2.74-2.88, 2 Al 3.01
Au4 0.5000 0.1864 0.3137  10 Pd 2.74-2.88, 2 Al 3.01
Pd1 0.0000 0.6424 0.8575  2 Al 2.65, 4 Au 2.75-2.88, 6 Pd 2.85-2.89
Pd2 0.0000 0.0158 0.1712  1 Al 2.73, 3 Au 2.74-2.77, 8 Pd 2.85-2.89
Pd3 0.5000 0.5158 0.3288  1 Al 2.73, 3 Au 2.74-2.77, 8 Pd 2.85-2.89
Pd4 0.5000 0.1711 0.9842  1 Al 2.73, 3 Au 2.74-2.77, 8 Pd 2.85-2.89
Pd5 0.0000 0.6711 0.5158  1 Al 2.73, 3 Au 2.74-2.77, 8 Pd 2.85-2.89
Pd6 0.5000 0.1424 0.6425  2 Al 2.65, 4 Au 2.75-2.88, 6 Pd 2.85-2.89
Pd7 0.0000 0.3576 0.1425  2 Al 2.65, 4 Au 2.75-2.88, 6 Pd 2.85-2.89
Pd8 0.5000 0.8289 0.0158  1 Al 2.73, 3 Au 2.74-2.77, 8 Pd 2.85-2.89
Pd9 0.5000 0.4842 0.6712  1 Al 2.73, 3 Au 2.74-2.77, 8 Pd 2.85-2.89
Pd10 0.0000 0.9842 0.8288  1 Al 2.73, 3 Au 2.74-2.77, 8 Pd 2.85-2.89
Pd11 0.0000 0.3289 0.4842  1 Al 2.73, 3 Au 2.74-2.77, 8 Pd 2.85-2.89
Pd12 0.5000 0.8576 0.3575  2 Al 2.65, 4 Au 2.75-2.88, 6 Pd 2.85-2.89
Al1 0.5000 0.5000 0.0000  8 Pd 2.65-2.73
Al2 0.0000 0.0000 0.5000  8 Pd 2.65-2.73

Output
- M_tot: 0.0 μB per formula unit
- E_form: -304 meV/atom
- SG: P4_2/mnm
- Mass density: 12.386 Mg/m³

=====

No. 4
# Al2Pd9Au

Crystalline Al2Pd9Au at its relaxed geometry (PBE, Alexandria via LeMat-Bulk).

Lattice parameters (Å, degrees): 3.9541 3.9541 11.7257 90.00 90.00 90.00
With the nearest neighbours (Å) after each atom.
Atoms (fractional coordinates):
Al1 0.0000 0.0000 0.3345  12 Pd 2.72-2.80
Al2 0.0000 0.0000 0.6655  12 Pd 2.72-2.80
Pd1 0.5000 0.5000 0.3378  8 Pd 2.74, 4 Al 2.80
Pd2 0.0000 0.5000 0.5000  8 Pd 2.74-2.80, 4 Al 2.77
Pd3 0.5000 0.0000 0.1756  2 Al 2.72, 8 Pd 2.74-2.85, 2 Au 2.85
Pd4 0.0000 0.5000 0.8244  2 Al 2.72, 8 Pd 2.74-2.85, 2 Au 2.85
Pd5 0.5000 0.5000 0.0000  4 Au 2.80, 8 Pd 2.85
Pd6 0.5000 0.0000 0.5000  8 Pd 2.74-2.80, 4 Al 2.77
Pd7 0.5000 0.5000 0.6622  8 Pd 2.74, 4 Al 2.80
Pd8 0.5000 0.0000 0.8244  2 Al 2.72, 8 Pd 2.74-2.85, 2 Au 2.85
Pd9 0.0000 0.5000 0.1756  2 Al 2.72, 8 Pd 2.74-2.85, 2 Au 2.85
Au1 0.0000 0.0000 0.0000  12 Pd 2.80-2.85

Output
- M_tot: 0.0 μB per formula unit
- E_form: -418 meV/atom
- SG: P4/mmm
- Mass density: 10.948 Mg/m³

=====

No. 5
# Al6PdAu8

Crystalline Al6PdAu8 at its relaxed geometry (PBE, Alexandria via LeMat-Bulk).

Lattice parameters (Å, degrees): 7.5542 7.5542 6.9490 57.07 57.07 60.00
With the nearest neighbours (Å) after each atom.
Atoms (fractional coordinates):
Al1 0.6143 0.9433 0.1745  7 Au 2.64-2.77, 1 Pd 2.64
Al2 0.3857 0.0567 0.8255  7 Au 2.64-2.77, 1 Pd 2.64
Al3 0.9433 0.2679 0.1745  7 Au 2.64-2.77, 1 Pd 2.64
Al4 0.2679 0.6143 0.1745  7 Au 2.64-2.77, 1 Pd 2.64
Al5 0.7321 0.3857 0.8255  7 Au 2.64-2.77, 1 Pd 2.64
Al6 0.0567 0.7321 0.8255  7 Au 2.64-2.77, 1 Pd 2.64
Au1 0.5562 0.2212 0.3382  5 Al 2.64-2.77
Au2 0.4438 0.7788 0.6618  5 Al 2.64-2.77
Au3 0.1155 0.4438 0.6618  5 Al 2.64-2.77
Au4 0.6670 0.6670 0.9991  6 Al 2.70-2.72
Au5 0.3330 0.3330 0.0009  6 Al 2.70-2.72
Au6 0.8845 0.5562 0.3382  5 Al 2.64-2.77
Au7 0.2212 0.8845 0.3382  5 Al 2.64-2.77
Au8 0.7788 0.1155 0.6618  5 Al 2.64-2.77
Pd1 0.0000 0.0000 0.0000  6 Al 2.64

Output
- M_tot: 0.0 μB per formula unit
- E_form: -383 meV/atom
- SG: R-3
- Mass density: 11.453 Mg/m³

=====

No. 6
# Al2Pd2Au3

Crystalline Al2Pd2Au3 at its relaxed geometry (PBE, Alexandria via LeMat-Bulk).

Lattice parameters (Å, degrees): 4.0738 4.7674 6.6444 101.27 90.00 115.29
With the nearest neighbours (Å) after each atom.
Atoms (fractional coordinates):
Au1 0.3621 0.7241 0.5674  3 Al 2.69-2.82, 4 Au 2.72-2.86, 3 Pd 2.85-2.98
Au2 0.6379 0.2759 0.4326  3 Al 2.69-2.82, 4 Au 2.72-2.86, 3 Pd 2.85-2.98
Au3 0.5000 0.0000 0.0000  6 Al 2.77-2.99, 4 Pd 2.81, 2 Au 2.86
Pd1 0.9011 0.8023 0.2354  4 Al 2.62-2.75, 3 Au 2.81-2.85
Pd2 0.0989 0.1977 0.7646  4 Al 2.62-2.75, 3 Au 2.81-2.85
Al1 0.2055 0.4110 0.1702  4 Pd 2.62-2.75, 5 Au 2.69-2.82
Al2 0.7945 0.5890 0.8298  4 Pd 2.62-2.75, 5 Au 2.69-2.82

Output
- M_tot: 0.0 μB per formula unit
- E_form: -473 meV/atom
- SG: C2/m
- Mass density: 12.503 Mg/m³

=====

No. 7
# AlPd3Au3

Crystalline AlPd3Au3 at its relaxed geometry (PBE, Alexandria via LeMat-Bulk).

Lattice parameters (Å, degrees): 5.9401 5.9401 6.8575 90.00 90.00 85.43
With the nearest neighbours (Å) after each atom.
Atoms (fractional coordinates):
Au1 0.2518 0.2518 0.5003  6 Pd 2.75-2.95, 4 Au 2.88-3.06
Au2 0.2641 0.7359 0.5000  6 Pd 2.88-2.90, 4 Au 2.88-3.06
Au3 0.3197 0.6804 0.0000  2 Al 2.69, 6 Pd 2.74-2.96, 1 Au 2.91
Au4 0.6803 0.3196 0.0000  2 Al 2.69, 6 Pd 2.74-2.96, 1 Au 2.91
Au5 0.7359 0.2641 0.5000  6 Pd 2.88-2.90, 4 Au 2.88-3.06
Au6 0.7482 0.7482 0.4997  6 Pd 2.75-2.95, 4 Au 2.88-3.06
Pd1 0.0002 0.4998 0.2264  2 Al 2.54, 4 Au 2.74-2.75
Pd2 0.0001 0.0001 0.2138  2 Al 2.56
Pd3 0.9999 0.9999 0.7862  2 Al 2.56
Pd4 0.9998 0.5002 0.7736  2 Al 2.54, 4 Au 2.74-2.75
Pd5 0.5002 0.9998 0.7736  2 Al 2.54, 4 Au 2.74-2.75
Pd6 0.4998 0.0002 0.2264  2 Al 2.54, 4 Au 2.74-2.75
Al1 0.2407 0.2407 0.9997  6 Pd 2.54-2.56, 2 Au 2.69
Al2 0.7593 0.7593 0.0003  6 Pd 2.54-2.56, 2 Au 2.69

Output
- M_tot: 0.0 μB per formula unit
- E_form: -301 meV/atom
- SG: Cmmm
- Mass density: 12.904 Mg/m³

=====

No. 8
# AlPd2Au5

Crystalline AlPd2Au5 at its relaxed geometry (PBE, Alexandria via LeMat-Bulk).

Lattice parameters (Å, degrees): 4.1057 5.7549 11.4622 90.00 90.00 90.00
With the nearest neighbours (Å) after each atom.
Atoms (fractional coordinates):
Au1 0.0000 0.0290 0.2601  1 Al 2.75, 7 Au 2.82-2.99, 2 Pd 2.89
Au2 0.0000 0.5290 0.2399  1 Al 2.75, 7 Au 2.82-2.99, 2 Pd 2.89
Au3 0.5000 0.2091 0.8664  4 Pd 2.79-2.98, 6 Au 2.82-2.86, 2 Al 3.06
Au4 0.0000 0.0000 0.0000  6 Au 2.83-2.99, 2 Al 2.88, 4 Pd 2.93
Au5 0.5000 0.7909 0.1336  4 Pd 2.79-2.98, 6 Au 2.82-2.86, 2 Al 3.06
Au6 0.0000 0.9710 0.7399  1 Al 2.75, 7 Au 2.82-2.99, 2 Pd 2.89
Au7 0.5000 0.7091 0.6336  4 Pd 2.79-2.98, 6 Au 2.82-2.86, 2 Al 3.06
Au8 0.0000 0.4710 0.7601  1 Al 2.75, 7 Au 2.82-2.99, 2 Pd 2.89
Au9 0.5000 0.2909 0.3664  4 Pd 2.79-2.98, 6 Au 2.82-2.86, 2 Al 3.06
Au10 0.0000 0.5000 0.5000  6 Au 2.83-2.99, 2 Al 2.88, 4 Pd 2.93
Pd1 0.5000 0.2032 0.6062  2 Al 2.66, 7 Au 2.79-2.93
Pd2 0.5000 0.7032 0.8938  2 Al 2.66, 7 Au 2.79-2.93
Pd3 0.5000 0.7968 0.3938  2 Al 2.66, 7 Au 2.79-2.93
Pd4 0.5000 0.2968 0.1062  2 Al 2.66, 7 Au 2.79-2.93
Al1 0.0000 0.0000 0.5000  4 Pd 2.66, 4 Au 2.75-2.88
Al2 0.0000 0.5000 0.0000  4 Pd 2.66, 4 Au 2.75-2.88

Output
- M_tot: 0.0 μB per formula unit
- E_form: -263 meV/atom
- SG: Pbam
- Mass density: 15.018 Mg/m³

=====

What did the second record say?
# AlPd2Au2

Crystalline AlPd2Au2 at its relaxed geometry (PBE, Alexandria via LeMat-Bulk).

Lattice parameters (Å, degrees): 6.6255 6.6255 4.0093 90.00 90.00 90.00
With the nearest neighbours (Å) after each atom.
Atoms (fractional coordinates):
Pd1 0.1577 0.6577 0.5000  6 Au 2.72-2.84, 1 Pd 2.96
Pd2 0.6577 0.8423 0.5000  6 Au 2.72-2.84, 1 Pd 2.96
Pd3 0.8423 0.3423 0.5000  6 Au 2.72-2.84, 1 Pd 2.96
Pd4 0.3423 0.1577 0.5000  6 Au 2.72-2.84, 1 Pd 2.96
Au1 0.1453 0.3547 0.0000  2 Al 2.54, 1 Au 2.72, 6 Pd 2.72-2.84
Au2 0.3547 0.8547 0.0000  2 Al 2.54, 1 Au 2.72, 6 Pd 2.72-2.84
Au3 0.6453 0.1453 0.0000  2 Al 2.54, 1 Au 2.72, 6 Pd 2.72-2.84
Au4 0.8547 0.6453 0.0000  2 Al 2.54, 1 Au 2.72, 6 Pd 2.72-2.84
Al1 0.5000 0.5000 0.0000  4 Au 2.54
Al2 0.0000 0.0000 0.0000  4 Au 2.54

Output
- M_tot: 0.0 μB per formula unit
- E_form: -169 meV/atom
- SG: P4/mbm
- Relative energy among the computed polymorphs: 0.311 eV per atom
- Mass density: 11.959 Mg/m³